# 1
The following is a DFT calculation (PBE) of crystalline Rb3ThSc2Se6 at its relaxed geometry.

Output
* V: 29.653 Å³/atom
* formation energy from raw total energies: -1.5691 eV/atom

Cell lengths 7.161, 7.161, 8.363 Å; angles 98.23, 98.23, 120.01 degrees
Atoms (fractional coordinates):
Rb 0.164 0.836 0.500
Rb 0.836 0.164 0.500
Rb 0.500 0.500 0.500
Th 0.000 0.000 0.000
Sc 0.333 0.667 0.000
Sc 0.667 0.333 0.000
Se 0.935 0.588 0.807
Se 0.717 0.717 0.193
Se 0.065 0.412 0.193
Se 0.588 0.935 0.807
Se 0.283 0.283 0.807
Se 0.412 0.065 0.193

# 2
The following is a DFT calculation (PBE) of crystalline Ce2Ho3Er6Tm at its relaxed geometry.

Output
* V: 30.488 Å³/atom
* DFT formation energy: 0.5 eV per formula unit

Cell lengths 6.076, 6.076, 11.620 Å; angles 95.00, 95.00, 119.98 degrees
Each line ends with the local moment (μB).
Atoms (fractional coordinates):
Ce 0.333 0.667 0.000  0.69
Ce 0.667 0.333 0.000  0.69
Ho 0.166 0.834 0.500  -0.03
Ho 0.834 0.166 0.500  -0.03
Ho 0.500 0.500 0.500  -0.03
Er 0.917 0.582 0.751  0.01
Er 0.749 0.749 0.249  0.01
Er 0.083 0.418 0.249  0.01
Er 0.582 0.917 0.751  0.01
Er 0.251 0.251 0.751  0.01
Er 0.418 0.083 0.249  0.01
Tm 0.000 0.000 0.000  0.07

# 3
The following is a DFT calculation (PBE) of crystalline BaTl2InPd at its relaxed geometry.

Output
* V: 31.247 Å³/atom
* DFT formation energy: -1.3 eV per formula unit

Cell lengths 5.426, 5.426, 5.307 Å; angles 90.00, 90.00, 90.00 degrees
Atoms (fractional coordinates):
Tl 0.000 0.500 0.000
Tl 0.500 0.000 0.000
Ba 0.500 0.500 0.500
Pd 0.000 0.000 0.000
In 0.000 0.000 0.500

# 4
The following is a DFT calculation (PBE) of crystalline AgRhSe2 at its relaxed geometry.

Output
* V: 20.040 Å³/atom
* formation energy from raw total energies: -0.1072 eV/atom

Cell lengths 5.235, 5.235, 6.922 Å; angles 67.78, 67.78, 90.00 degrees
Atoms (fractional coordinates):
Rh 0.500 0.500 0.000
Rh 0.250 0.750 0.500
Se 0.713 0.713 0.574
Se 0.037 0.537 0.926
Se 0.287 0.287 0.426
Se 0.463 0.963 0.074
Ag 0.000 0.000 0.000
Ag 0.750 0.250 0.500

# 5
The following is a DFT calculation (PBE) of crystalline Ac5Sm3Te8 at its relaxed geometry.

Output
* V: 35.032 Å³/atom
* formation energy from raw total energies: -1.4367 eV/atom

Cell lengths 9.233, 9.233, 9.276 Å; angles 60.15, 60.15, 60.00 degrees
Atoms (fractional coordinates):
Ac 0.500 0.000 0.000
Ac 0.500 0.500 0.000
Ac 0.000 0.000 0.000
Ac 0.000 0.500 0.000
Ac 0.500 0.500 0.500
Sm 0.500 0.000 0.500
Sm 0.000 0.000 0.500
Sm 0.000 0.500 0.500
Te 0.250 0.250 0.737
Te 0.250 0.763 0.737
Te 0.763 0.250 0.737
Te 0.756 0.756 0.731
Te 0.750 0.750 0.263
Te 0.750 0.237 0.263
Te 0.237 0.750 0.263
Te 0.244 0.244 0.269

# 6
The following is a DFT calculation (PBE) of crystalline PmY4Ga2 at its relaxed geometry.

Output
* V: 30.505 Å³/atom
* DFT formation energy: -0.9 eV per formula unit

Cell lengths 4.939, 4.939, 10.502 Å; angles 76.40, 76.40, 60.00 degrees
Atoms (fractional coordinates):
Pm 0.500 0.500 0.500
Y 0.702 0.702 0.893
Y 0.897 0.897 0.309
Y 0.298 0.298 0.107
Y 0.103 0.103 0.691
Ga 0.601 0.601 0.198
Ga 0.399 0.399 0.802

no.,magnetic moment (μB per cell)
1,0.00
2,1.73
3,0.00
4,0.00
5,0.00
6,0.00